CeTh2GaN5 | GGA-PBE | optimized geometry

## Properties
Uncorrected formation energy   -1175 meV/atom
Size of the total moment   0.00 μB/cell
Mass density   9338 kg/m3

The structure in extended XYZ format:
```
18
Lattice="1.757 -7.085 0.000 1.757 7.085 0.000 0.000 0.000 10.630" Properties=species:S:1:pos:R:3 pbc="T T T"
Ce 1.757 4.213 5.315
Ce 1.757 -4.213 0.000
Th 1.757 5.385 2.077
Th 1.757 5.270 8.411
Th 1.757 -5.270 3.096
Th 1.757 -5.385 7.392
Ga 1.757 0.058 10.485
Ga 1.757 -0.058 5.170
N 1.757 6.502 5.990
N 1.757 2.935 1.667
N 1.757 2.829 9.051
N 1.757 1.929 5.632
N 1.757 0.112 3.177
N 1.757 -0.112 8.492
N 1.757 -1.929 0.317
N 1.757 -2.829 3.736
N 1.757 -2.935 6.982
N 1.757 -6.502 0.675
```

Mn2VPN | GGA-PBE | optimized geometry

## Properties
Uncorrected formation energy   53 meV/atom
Size of the total moment   2.67 μB/cell
Mass density   5540 kg/m3

The structure in extended XYZ format:
```
5
Lattice="3.666 0.000 0.000 0.000 3.666 0.000 0.000 0.000 4.591" Properties=species:S:1:pos:R:3 pbc="T T T"
Mn 0.000 1.833 0.000
Mn 1.833 0.000 0.000
V 0.000 0.000 2.296
P 1.833 1.833 2.296
N 1.833 1.833 0.000
```

Please write out number 2 again, unchanged.
Mn2VPN | GGA-PBE | optimized geometry

## Properties
Uncorrected formation energy   53 meV/atom
Size of the total moment   2.67 μB/cell
Mass density   5540 kg/m3

The structure in extended XYZ format:
```
5
Lattice="3.666 0.000 0.000 0.000 3.666 0.000 0.000 0.000 4.591" Properties=species:S:1:pos:R:3 pbc="T T T"
Mn 0.000 1.833 0.000
Mn 1.833 0.000 0.000
V 0.000 0.000 2.296
P 1.833 1.833 2.296
N 1.833 1.833 0.000
```

Q: Among the records above, which one has the highest mass density?
A: CeTh2GaN5

Q: What is the formula in the first record?
A: CeTh2GaN5

Q: Among the records above, which one has the highest uncorrected formation energy?
A: Mn2VPN